# InSi2W, relaxed, DFT GGA-PBE
data_InSi2W
_symmetry_space_group_name_H-M 'P 1'
_symmetry_Int_Tables_number 1
_symmetry_space_group_name_Hall 'P 1'
_cell_length_a 4.4439
_cell_length_b 4.4439
_cell_length_c 3.3086
_cell_angle_alpha 90.00
_cell_angle_beta 90.00
_cell_angle_gamma 90.00
loop_
_atom_site_label
_atom_site_fract_x
_atom_site_fract_y
_atom_site_fract_z
In1 0.0000 0.0000 0.0000
Si1 0.0000 0.5000 0.5000
Si2 0.5000 0.0000 0.5000
W1 0.5000 0.5000 0.0000
# formation energy (no corrections)	0.59	eV per atom
# total energy	-6.049	eV per atom

# In2SiW, relaxed, DFT GGA-PBE
data_In2SiW
_symmetry_space_group_name_H-M 'P 1'
_symmetry_Int_Tables_number 1
_symmetry_space_group_name_Hall 'P 1'
_cell_length_a 3.1961
_cell_length_b 4.4919
_cell_length_c 5.5819
_cell_angle_alpha 90.00
_cell_angle_beta 106.52
_cell_angle_gamma 90.00
loop_
_atom_site_label
_atom_site_fract_x
_atom_site_fract_y
_atom_site_fract_z
In1 0.0000 0.0000 0.0000
In2 0.3386 0.5000 0.6805
Si1 0.6095 0.5000 0.2244
W1 0.7286 0.0000 0.4573
# formation energy (no corrections)	0.44	eV per atom
# total energy	-5.527	eV per atom

# InSi2W, relaxed, DFT GGA-PBE
data_InSi2W
_symmetry_space_group_name_H-M 'P 1'
_symmetry_Int_Tables_number 1
_symmetry_space_group_name_Hall 'P 1'
_cell_length_a 8.6261
_cell_length_b 3.1795
_cell_length_c 5.1334
_cell_angle_alpha 90.00
_cell_angle_beta 97.24
_cell_angle_gamma 90.00
loop_
_atom_site_label
_atom_site_fract_x
_atom_site_fract_y
_atom_site_fract_z
In1 0.0000 0.0000 0.0000
In2 0.5000 0.5000 0.0000
Si1 0.2278 0.0000 0.6736
Si2 0.2722 0.5000 0.3264
Si3 0.7278 0.5000 0.6736
Si4 0.7722 0.0000 0.3264
W1 0.0000 0.5000 0.5000
W2 0.5000 0.0000 0.5000
# formation energy (no corrections)	0.33	eV per atom
# total energy	-6.304	eV per atom

Summary of theoretical density in g cm⁻³
9.018; 9.544; 8.437
(order as listed above)